An optimized crystal structure of DyEr3In3, computed with GGA-PBE.

Properties
Its space group is P2_13, No. 198. For the energy above the most stable polymorph in this dataset, the calculation gives 35 meV per atom. Its total magnetic moment is 0.0 μB/f.u. The value obtained for the volume is 794 Å³/cell. For the electronic total energy, the calculation gives -114.359 eV per cell. For the formation energy, the calculation gives -29 kJ/mol of atoms.

Unit cell a=9.2587 b=9.2587 c=9.2587 alpha=90.00 beta=90.00 gamma=90.00
With the nearest neighbours (Å) after each atom.
Fractional positions:
Dy: 0.0708 0.5708 0.9292  6 In 3.14-3.32
Dy: 0.9292 0.0708 0.5708  6 In 3.14-3.32
Dy: 0.4292 0.4292 0.4292  6 In 3.14-3.32
Dy: 0.5708 0.9292 0.0708  6 In 3.14-3.32
Er: 0.8245 0.3245 0.1755  6 In 3.12-3.28
Er: 0.9195 0.9195 0.9195  6 In 3.12-3.28
Er: 0.8239 0.6761 0.3239  6 In 3.12-3.28
Er: 0.1755 0.8245 0.3245  6 In 3.12-3.28
Er: 0.1761 0.1761 0.1761  6 In 3.12-3.28
Er: 0.3239 0.8239 0.6761  6 In 3.12-3.28
Er: 0.0805 0.4195 0.5805  6 In 3.12-3.28
Er: 0.3245 0.1755 0.8245  6 In 3.12-3.28
Er: 0.6761 0.3239 0.8239  6 In 3.12-3.28
Er: 0.6755 0.6755 0.6755  6 In 3.12-3.28
Er: 0.5805 0.0805 0.4195  6 In 3.12-3.28
Er: 0.4195 0.5805 0.0805  6 In 3.12-3.28
In: 0.7440 0.6227 0.0013  6 Er 3.12-3.28, 2 Dy 3.14-3.32
In: 0.8773 0.9987 0.2440  6 Er 3.12-3.28, 2 Dy 3.14-3.32
In: 0.0013 0.7440 0.6227  6 Er 3.12-3.28, 2 Dy 3.14-3.32
In: 0.1227 0.4987 0.2560  6 Er 3.12-3.28, 2 Dy 3.14-3.32
In: 0.2560 0.1227 0.4987  6 Er 3.12-3.28, 2 Dy 3.14-3.32
In: 0.2440 0.8773 0.9987  6 Er 3.12-3.28, 2 Dy 3.14-3.32
In: 0.9987 0.2440 0.8773  6 Er 3.12-3.28, 2 Dy 3.14-3.32
In: 0.3773 0.5013 0.7560  6 Er 3.12-3.28, 2 Dy 3.14-3.32
In: 0.4987 0.2560 0.1227  6 Er 3.12-3.28, 2 Dy 3.14-3.32
In: 0.6227 0.0013 0.7440  6 Er 3.12-3.28, 2 Dy 3.14-3.32
In: 0.7560 0.3773 0.5013  6 Er 3.12-3.28, 2 Dy 3.14-3.32
In: 0.5013 0.7560 0.3773  6 Er 3.12-3.28, 2 Dy 3.14-3.32